(1)
HfFeSi3 after structural relaxation. Source: the Alexandria database, functional GGA-PBE.

SG: Pm-3m, No. 221
Volume: 16.48 A^3/atom
Formation energy from raw total energies: 0.350 eV/atom
Total magnetization: 0.486 μB per cell
Crystal system: cubic
Energy: -6.587 eV/atom

Cell and atoms, written as extended XYZ:
```
5
Lattice="4.352 0.000 0.000 0.000 4.352 0.000 0.000 0.000 4.352" Properties=species:S:1:pos:R:3 pbc="T T T"
Hf 0.000 0.000 0.000
Fe 2.176 2.176 2.176
Si 0.000 2.176 2.176
Si 2.176 0.000 2.176
Si 2.176 2.176 0.000
```

=====

(2)
CsDyZnS3 after structural relaxation. Source: the Alexandria database, functional GGA-PBE.

SG: P2_1/m, No. 11
Volume: 29.18 A^3/atom
Formation energy from raw total energies: -1.498 eV/atom
Total magnetization: 0.000 μB per cell
Crystal system: monoclinic
Energy: -4.684 eV/atom

Cell and atoms, written as extended XYZ:
```
12
Lattice="9.399 0.000 0.000 0.000 4.038 0.000 -3.642 0.000 9.225" Properties=species:S:1:pos:R:3 pbc="T T T"
Cs 1.146 1.010 2.225
Cs 4.611 3.029 6.999
Dy -0.005 3.029 7.942
Dy 5.762 1.010 1.283
Zn -1.443 1.010 5.637
Zn 7.200 3.029 3.587
S -1.909 1.010 7.892
S -0.242 3.029 5.025
S 3.918 3.029 1.393
S 1.839 1.010 7.831
S 5.999 1.010 4.199
S 7.666 3.029 1.333
```

=====

(3)
SiAgO2 after structural relaxation. Source: the Alexandria database, functional GGA-PBE.

SG: R-3m, No. 166
Volume: 12.87 A^3/atom
Formation energy from raw total energies: -1.695 eV/atom
Total magnetization: 0.000 μB per cell
Crystal system: trigonal
Energy: -6.243 eV/atom

Cell and atoms, written as extended XYZ:
```
4
Lattice="1.356 0.783 8.088 -1.356 0.783 8.088 0.000 -1.565 8.088" Properties=species:S:1:pos:R:3 pbc="T T T"
Si 0.000 0.000 0.000
Ag 0.000 0.000 12.132
O 0.000 0.000 8.993
O 0.000 0.000 15.270
```

=====

(4)
SrCuOs2 after structural relaxation. Source: the Alexandria database, functional GGA-PBE.

SG: I-4m2, No. 119
Volume: 17.34 A^3/atom
Total magnetization: 0.000 μB per cell
Calculated formation energy: 935 meV per atom
Crystal system: tetragonal
Energy relative to the lowest polymorph listed for this composition: 778.1 meV per atom
Energy: -6.125 eV/atom

Cell and atoms, written as extended XYZ:
```
4
Lattice="-2.308 2.308 3.257 2.308 -2.308 3.257 2.308 2.308 -3.257" Properties=species:S:1:pos:R:3 pbc="T T T"
Sr 0.000 0.000 0.000
Cu 2.308 0.000 1.628
Os 0.000 0.000 3.257
Os 0.000 2.308 1.628
```

=====

(5)
Pa4AlGa after structural relaxation. Source: the Alexandria database, functional GGA-PBE.

SG: P-42c, No. 112
Volume: 24.11 A^3/atom
Total magnetization: 0.001 μB per cell
Calculated formation energy: 176 meV per atom
Crystal system: tetragonal
Energy: -7.282 eV/atom

Cell and atoms, written as extended XYZ:
```
12
Lattice="6.926 0.000 0.000 0.000 6.926 0.000 0.000 0.000 6.031" Properties=species:S:1:pos:R:3 pbc="T T T"
Pa 1.181 1.814 2.188
Pa 1.181 5.112 0.827
Pa 1.814 1.181 5.204
Pa 1.814 5.745 3.843
Pa 5.112 1.181 3.843
Pa 5.112 5.745 5.204
Pa 5.745 1.814 0.827
Pa 5.745 5.112 2.188
Al 3.463 3.463 0.000
Al 3.463 3.463 3.016
Ga 0.000 3.463 4.523
Ga 3.463 0.000 1.508
```

=====

Repeat the second record exactly.
CsDyZnS3 after structural relaxation. Source: the Alexandria database, functional GGA-PBE.

SG: P2_1/m, No. 11
Volume: 29.18 A^3/atom
Formation energy from raw total energies: -1.498 eV/atom
Total magnetization: 0.000 μB per cell
Crystal system: monoclinic
Energy: -4.684 eV/atom

Cell and atoms, written as extended XYZ:
```
12
Lattice="9.399 0.000 0.000 0.000 4.038 0.000 -3.642 0.000 9.225" Properties=species:S:1:pos:R:3 pbc="T T T"
Cs 1.146 1.010 2.225
Cs 4.611 3.029 6.999
Dy -0.005 3.029 7.942
Dy 5.762 1.010 1.283
Zn -1.443 1.010 5.637
Zn 7.200 3.029 3.587
S -1.909 1.010 7.892
S -0.242 3.029 5.025
S 3.918 3.029 1.393
S 1.839 1.010 7.831
S 5.999 1.010 4.199
S 7.666 3.029 1.333
```

=====

> The lowest volume belongs to which entry?

SiAgO2

=====

> Among the records above, which one has the lowest volume?

SiAgO2

=====

> What is the volume in the first record?

16.48 A^3/atom